Here is a PBEsol-optimized structure of SrTlSb2 from the Alexandria database. Energies are from meta-GGA SCAN.

Computed properties:
crystal system: tetragonal
M_tot: 0.00 μB/f.u.
raw formation energy: -0.506 eV per atom
E above lowest polymorph: 0.011 eV/atom

a b c (Å): 6.009 6.009 6.009
angles (deg): 132.92 132.92 68.78
Atoms (fractional coordinates):
Sr: 0.000 0.000 0.000
Tl: 0.500 0.500 0.000
Sb: 0.250 0.750 0.500
Sb: 0.750 0.250 0.500